# 1
VASP calculation (GGA-PBE) on NaHfCoI2 after structural relaxation.

The space group is P4/mmm (No. 123) and the conventional cell measures 5.8477, 5.8477 and 4.6690 Å, with angles of 90.00, 90.00 and 90.00 degrees. The distinct sites, in fractional coordinates, are Na at (0.0000, 0.0000, 0.0000), Hf at (0.5000, 0.5000, 0.5000), Co at (0.5000, 0.5000, 0.0000) and I at (0.0000, 0.5000, 0.5000).

For the energy relative to the elements, uncorrected, the calculation gives 78 kJ/mol of formula units. The uncorrected energy is -0.3038 Ry/atom.

---

# 2
VASP calculation (GGA-PBE) on SrSi2Br8 after structural relaxation.

The space group is C2/m (No. 12) and the conventional cell measures 13.0123, 10.6937 and 6.9934 Å, with angles of 90.00, 101.13 and 90.00 degrees. The distinct sites, in fractional coordinates, are Sr at (0.0000, 0.0000, 0.0000), Si at (0.2224, 0.0000, 0.6809), Br at (0.1037, 0.5000, 0.1337), Br at (0.1215, 0.1729, 0.7658) and Br at (0.1991, 0.0000, 0.3216).

For the energy relative to the elements, uncorrected, the calculation gives -904 kJ/mol of formula units. The uncorrected energy is -0.2357 Ry/atom.

---

# 3
VASP calculation (GGA-PBE) on Ca2DyTm2Te6 after structural relaxation.

The space group is C2/m (No. 12) and the conventional cell measures 7.5281, 13.0654 and 7.7434 Å, with angles of 90.00, 108.91 and 90.00 degrees. The distinct sites, in fractional coordinates, are Ca at (0.0000, 0.1651, 0.0000), Dy at (0.0000, 0.0000, 0.5000), Tm at (0.0000, 0.3320, 0.5000), Te at (0.2400, 0.5000, 0.7415) and Te at (0.2502, 0.1665, 0.7423).

For the energy relative to the elements, uncorrected, the calculation gives -1559 kJ/mol of formula units. The uncorrected energy is -0.3511 Ry/atom.

---

# 4
VASP calculation (GGA-PBE) on Ac12In6Pt after structural relaxation.

The space group is R-3 (No. 148, hexagonal axes) and the conventional cell measures 13.2518, 13.2518 and 14.9497 Å, with angles of 90.00, 90.00 and 120.00 degrees. The distinct sites, in fractional coordinates, are Ac at (0.0330, 0.8379, 0.3794), Ac at (0.0368, 0.1953, 0.8905), In at (0.0050, 0.3980, 0.7573) and Pt at (0.0000, 0.0000, 0.5000).

The energy relative to the elements is -6.9 kcal/mol of atoms. The uncorrected energy is -0.2995 Ry/atom.

---

# 5
VASP calculation (GGA-PBE) on CaDyY2Bi4 after structural relaxation.

The space group is P2/m (No. 10) and the conventional cell measures 7.8389, 4.4795 and 7.8402 Å, with angles of 90.00, 109.08 and 90.00 degrees. The distinct sites, in fractional coordinates, are Ca at (0.0000, 0.0000, 0.0000), Dy at (0.0000, 0.5000, 0.5000), Y at (0.5000, 0.0000, 0.5000), Y at (0.5000, 0.5000, 0.0000), Bi at (0.2516, 0.0000, 0.7474) and Bi at (0.2550, 0.5000, 0.2555).

The energy relative to the elements is -19.0 kcal/mol of atoms. The uncorrected energy is -0.3826 Ry/atom.

---

# 6
VASP calculation (GGA-PBE) on CaBe2S after structural relaxation.

The space group is I-42d (No. 122) and the conventional cell measures 7.1493, 7.1493 and 5.2670 Å, with angles of 90.00, 90.00 and 90.00 degrees. The distinct sites, in fractional coordinates, are Ca at (0.0000, 0.0000, 0.0000), Be at (0.1751, 0.7500, 0.6250) and S at (0.0000, 0.0000, 0.5000).

For the energy relative to the elements, uncorrected, the calculation gives -41 kJ/mol of formula units. The uncorrected energy is -0.2573 Ry/atom.

---

# 7
VASP calculation (GGA-PBE) on Rb3Np3MnS8 after structural relaxation.

The space group is R-3m (No. 166, hexagonal axes) and the conventional cell measures 7.9696, 7.9696 and 23.3541 Å, with angles of 90.00, 90.00 and 120.00 degrees. The distinct sites, in fractional coordinates, are Rb at (0.0000, 0.5000, 0.0000), Np at (0.0000, 0.5000, 0.5000), Mn at (0.0000, 0.0000, 0.5000), S at (0.0000, 0.0000, 0.2304) and S at (0.0082, 0.5041, 0.2266).

For the energy relative to the elements, uncorrected, the calculation gives -1787 kJ/mol of formula units. The uncorrected energy is -0.5019 Ry/atom.

---

# 8
VASP calculation (GGA-PBE) on NaHfNO2 after structural relaxation.

The space group is P4/mmm (No. 123) and the conventional cell measures 3.8162, 3.8162 and 3.8978 Å, with angles of 90.00, 90.00 and 90.00 degrees. The distinct sites, in fractional coordinates, are Na at (0.0000, 0.0000, 0.0000), Hf at (0.5000, 0.5000, 0.5000), N at (0.0000, 0.0000, 0.5000) and O at (0.0000, 0.5000, 0.0000).

For the energy relative to the elements, uncorrected, the calculation gives 41 kJ/mol of formula units. The uncorrected energy is -0.4276 Ry/atom.

---

# 9
VASP calculation (GGA-PBE) on Li2CaAs after structural relaxation.

The space group is Fmmm (No. 69) and the conventional cell measures 5.8347, 6.0668 and 10.3750 Å, with angles of 90.00, 90.00 and 90.00 degrees. The distinct sites, in fractional coordinates, are Li at (0.0000, 0.2500, 0.2500), Ca at (0.0000, 0.0000, 0.0000) and As at (0.0000, 0.0000, 0.5000).

The energy relative to the elements is -8.1 kcal/mol of atoms. The uncorrected energy is -0.2183 Ry/atom.

---

# 10
VASP calculation (GGA-PBE) on PrThCo after structural relaxation.

The space group is C2/m (No. 12) and the conventional cell measures 12.8650, 6.9443 and 3.6867 Å, with angles of 90.00, 106.51 and 90.00 degrees. The distinct sites, in fractional coordinates, are Pr at (0.2185, 0.0000, 0.2182), Th at (0.0000, 0.2598, 0.5000) and Co at (0.1072, 0.5000, 0.1079).

As for the energy above the lowest structure with this stoichiometry: 0 meV/atom. The energy relative to the elements is -3.1 kcal/mol of atoms. The uncorrected energy is -0.4829 Ry/atom.

---

# 11
VASP calculation (GGA-PBE) on NaGaTe2Cl after structural relaxation.

The space group is P4/mmm (No. 123) and the conventional cell measures 5.6269, 5.6269 and 5.2105 Å, with angles of 90.00, 90.00 and 90.00 degrees. The distinct sites, in fractional coordinates, are Na at (0.0000, 0.0000, 0.0000), Ga at (0.5000, 0.5000, 0.5000), Te at (0.0000, 0.5000, 0.0000) and Cl at (0.0000, 0.0000, 0.5000).

For the energy relative to the elements, uncorrected, the calculation gives 44 kJ/mol of formula units. The uncorrected energy is -0.1767 Ry/atom.

---

# 12
VASP calculation (GGA-PBE) on Cd3Bi2Cl2 after structural relaxation.

The space group is P-1 (No. 2) and the conventional cell measures 4.6817, 6.8133 and 9.0835 Å, with angles of 106.44, 91.78 and 109.87 degrees. The distinct sites, in fractional coordinates, are Cd at (0.0000, 0.0000, 0.0000), Cd at (0.3013, 0.5942, 0.6900), Bi at (0.3891, 0.6982, 0.0155) and Cl at (0.1312, 0.2715, 0.4330).

For the energy relative to the elements, uncorrected, the calculation gives -264 kJ/mol of formula units. The uncorrected energy is -0.1778 Ry/atom.

---

| no. | density (g cm⁻³) |
| --- | --- |
| 1 | 5.35 |
| 2 | 2.72 |
| 3 | 6.20 |
| 4 | 7.91 |
| 5 | 7.76 |
| 6 | 2.22 |
| 7 | 4.96 |
| 8 | 7.24 |
| 9 | 2.33 |
| 10 | 9.08 |
| 11 | 3.86 |
| 12 | 5.30 |